Entry 1:
Compound: ZnCrCoRh
Source: Alexandria
Functional: PBE
Structure: relaxed

a = 4.153 Å, b = 4.153 Å, c = 4.153 Å
α = 60.00°, β = 60.00°, γ = 60.00°
Each line ends with the local moment (μB).
Positions (direct):
1 Cr 0.750 0.750 0.750  1.63
2 Rh 0.000 0.000 0.000  -0.04
3 Co 0.500 0.500 0.500  0.64
4 Zn 0.250 0.250 0.250  -0.05

Values from the calculation:
Size of the total moment, μB/cell: 2.17
Space-group type: F-43m, No. 216
DFT formation energy, eV/atom: -0.024

Entry 2:
Compound: CrCoRu2
Source: Alexandria
Functional: PBE
Structure: relaxed

a = 8.574 Å, b = 8.574 Å, c = 8.574 Å
α = 17.70°, β = 17.70°, γ = 17.70°
Each line ends with the local moment (μB).
Positions (direct):
1 Ru 0.247 0.247 0.247  0.07
2 Ru 0.003 0.003 0.003  0.01
3 Cr 0.753 0.753 0.753  -0.10
4 Co 0.497 0.497 0.497  0.73

Values from the calculation:
Size of the total moment, μB/cell: 0.70
Excess energy over the best structure of this formula in the dataset, eV/f.u.: 0.55
Space-group type: R3m, No. 160
DFT formation energy, eV/atom: 0.201

Entry 3:
Compound: Cr3CoRu
Source: Alexandria
Functional: PBE
Structure: relaxed

a = 4.139 Å, b = 4.139 Å, c = 4.139 Å
α = 90.00°, β = 90.00°, γ = 90.00°
Positions (direct):
1 Cr 0.000 0.000 0.500
2 Cr 0.500 0.000 0.000
3 Cr 0.000 0.500 0.000
4 Co 0.000 0.000 0.000
5 Ru 0.500 0.500 0.500

Values from the calculation:
Size of the total moment, μB/cell: 0.00
Excess energy over the best structure of this formula in the dataset, eV/f.u.: 0.00
Space-group type: Pm-3m, No. 221
DFT formation energy, eV/atom: 1.267

Entry 4:
Compound: Cr2CoRu2
Source: Alexandria
Functional: PBE
Structure: relaxed

a = 6.991 Å, b = 6.991 Å, c = 2.738 Å
α = 90.00°, β = 90.00°, γ = 90.00°
Each line ends with the local moment (μB).
Positions (direct):
1 Co 0.500 0.500 0.000  1.58
2 Co 0.000 0.000 0.000  1.57
3 Cr 0.163 0.663 0.500  -0.50
4 Cr 0.663 0.837 0.500  -0.50
5 Cr 0.837 0.337 0.500  -0.50
6 Cr 0.337 0.163 0.500  -0.50
7 Ru 0.862 0.638 0.000  0.13
8 Ru 0.138 0.362 0.000  0.13
9 Ru 0.638 0.138 0.000  0.14
10 Ru 0.362 0.862 0.000  0.14

Values from the calculation:
Size of the total moment, μB/cell: 1.49
Excess energy over the best structure of this formula in the dataset, eV/f.u.: 0.00
Space-group type: P4/mbm, No. 127
DFT formation energy, eV/atom: 0.337

Entry 5:
Compound: CrCoRu2
Source: Alexandria
Functional: PBE
Structure: relaxed

a = 3.992 Å, b = 2.643 Å, c = 4.934 Å
α = 74.40°, β = 90.00°, γ = 90.00°
Positions (direct):
1 Ru 0.000 0.954 0.965
2 Ru 0.500 0.295 0.287
3 Cr 0.500 0.562 0.752
4 Co 0.000 0.690 0.496

Values from the calculation:
Size of the total moment, μB/cell: 0.00
Excess energy over the best structure of this formula in the dataset, eV/f.u.: 0.07
Space-group type: Amm2, No. 38
DFT formation energy, eV/atom: 0.082

Entry 6:
Compound: CrCoRu
Source: Alexandria
Functional: PBE
Structure: relaxed

a = 2.623 Å, b = 4.317 Å, c = 6.917 Å
α = 88.42°, β = 90.00°, γ = 72.31°
Each line ends with the local moment (μB).
Positions (direct):
1 Ru 0.127 0.287 0.763  0.08
2 Ru 0.319 0.904 0.277  0.08
3 Co 0.586 0.368 0.085  1.23
4 Co 0.859 0.823 0.956  1.23
5 Cr 0.590 0.361 0.433  -0.19
6 Cr 0.855 0.830 0.608  -0.19

Values from the calculation:
Size of the total moment, μB/cell: 2.17
Excess energy over the best structure of this formula in the dataset, eV/f.u.: 0.45
Space-group type: C2/m, No. 12
DFT formation energy, eV/atom: 0.197

Entry 7:
Compound: CrCoRu2
Source: Alexandria
Functional: PBE
Structure: relaxed

a = 4.175 Å, b = 4.175 Å, c = 4.175 Å
α = 60.00°, β = 60.00°, γ = 60.00°
Each line ends with the local moment (μB).
Positions (direct):
1 Co 0.500 0.500 0.500  1.84
2 Cr 0.000 0.000 0.000  -0.56
3 Ru 0.250 0.250 0.250  0.52
4 Ru 0.750 0.750 0.750  0.52

Values from the calculation:
Size of the total moment, μB/cell: 2.31
Excess energy over the best structure of this formula in the dataset, eV/f.u.: 0.65
Space-group type: Fm-3m, No. 225
DFT formation energy, eV/atom: 0.227

Entry 8:
Compound: CrCoRu2
Source: Alexandria
Functional: PBE
Structure: relaxed

a = 4.531 Å, b = 4.531 Å, c = 4.472 Å
α = 79.99°, β = 79.99°, γ = 33.88°
Each line ends with the local moment (μB).
Positions (direct):
1 Cr 0.245 0.245 0.263  0.46
2 Ru 0.752 0.752 0.742  -0.03
3 Ru 0.999 0.999 0.005  -0.02
4 Co 0.504 0.504 0.490  -0.06

Values from the calculation:
Size of the total moment, μB/cell: 0.37
Excess energy over the best structure of this formula in the dataset, eV/f.u.: 0.23
Space-group type: Cm, No. 8
DFT formation energy, eV/atom: 0.122

Entry 9:
Compound: CrCo3Ru
Source: Alexandria
Functional: PBE
Structure: relaxed

a = 4.387 Å, b = 4.387 Å, c = 4.387 Å
α = 90.00°, β = 90.00°, γ = 90.00°
Each line ends with the local moment (μB).
Positions (direct):
1 Co 0.000 0.000 0.500  1.69
2 Co 0.500 0.000 0.000  1.09
3 Co 0.000 0.500 0.000  1.36
4 Ru 0.000 0.000 0.000  0.47
5 Cr 0.500 0.500 0.500  -0.32

Values from the calculation:
Size of the total moment, μB/cell: 4.22
Excess energy over the best structure of this formula in the dataset, eV/f.u.: 2.80
Space-group type: Pm-3m, No. 221
DFT formation energy, eV/atom: 1.863

Entry 10:
Compound: Cr4Co12Ru
Source: Alexandria
Functional: PBE
Structure: relaxed

a = 6.443 Å, b = 6.443 Å, c = 6.443 Å
α = 109.47°, β = 109.47°, γ = 109.47°
Each line ends with the local moment (μB).
Positions (direct):
1 Co 0.500 0.250 0.750  -1.16
2 Co 0.689 0.689 0.000  -1.15
3 Co 0.250 0.500 0.750  -1.16
4 Co 0.311 0.311 0.000  -1.15
5 Co 0.000 0.689 0.689  -1.15
6 Co 0.500 0.750 0.250  -1.16
7 Co 0.750 0.500 0.250  -1.16
8 Co 0.000 0.311 0.311  -1.15
9 Co 0.750 0.250 0.500  -1.16
10 Co 0.689 0.000 0.689  -1.15
11 Co 0.311 0.000 0.311  -1.15
12 Co 0.250 0.750 0.500  -1.16
13 Cr 0.500 0.500 0.500  2.92
14 Cr 0.000 0.500 0.000  2.92
15 Cr 0.500 0.000 0.000  2.92
16 Cr 0.000 0.000 0.500  2.92
17 Ru 0.000 0.000 0.000  -0.41

Values from the calculation:
Size of the total moment, μB/cell: 1.58
Space-group type: Im-3m, No. 229
DFT formation energy, eV/atom: 0.300

Entry 11:
Compound: CrCo2Ru2
Source: Alexandria
Functional: PBE
Structure: relaxed

a = 6.885 Å, b = 6.885 Å, c = 2.647 Å
α = 90.00°, β = 90.00°, γ = 90.00°
Positions (direct):
1 Co 0.119 0.381 0.000
2 Co 0.381 0.881 0.000
3 Co 0.881 0.619 0.000
4 Co 0.619 0.119 0.000
5 Cr 0.500 0.500 0.000
6 Cr 0.000 0.000 0.000
7 Ru 0.677 0.823 0.500
8 Ru 0.323 0.177 0.500
9 Ru 0.177 0.677 0.500
10 Ru 0.823 0.323 0.500

Values from the calculation:
Size of the total moment, μB/cell: 0.00
Space-group type: P4/mbm, No. 127
DFT formation energy, eV/atom: 0.320

Entry 12:
Compound: CrCoRu2
Source: Alexandria
Functional: PBE
Structure: relaxed

a = 3.607 Å, b = 2.640 Å, c = 5.933 Å
α = 63.43°, β = 90.00°, γ = 90.00°
Each line ends with the local moment (μB).
Positions (direct):
1 Cr 0.500 0.750 0.750  -0.36
2 Co 0.500 0.250 0.250  0.75
3 Ru 0.000 0.999 0.002  0.07
4 Ru 0.000 0.501 0.498  0.07

Values from the calculation:
Size of the total moment, μB/cell: 0.50
Excess energy over the best structure of this formula in the dataset, eV/f.u.: 0.28
Space-group type: P2/m, No. 10
DFT formation energy, eV/atom: 0.133

Entry 13:
Compound: CrCoRu
Source: Alexandria
Functional: PBE
Structure: relaxed

a = 5.676 Å, b = 5.676 Å, c = 5.676 Å
α = 153.56°, β = 153.56°, γ = 37.73°
Positions (direct):
1 Cr 0.340 0.340 0.000
2 Ru 0.667 0.667 0.000
3 Co 0.993 0.993 0.000

Values from the calculation:
Size of the total moment, μB/cell: 0.00
Excess energy over the best structure of this formula in the dataset, eV/f.u.: 0.27
Space-group type: I4mm, No. 107
DFT formation energy, eV/atom: 0.139

Entry 14:
Compound: CrCoRu2
Source: Alexandria
Functional: PBE
Structure: relaxed

a = 2.628 Å, b = 2.628 Å, c = 7.285 Å
α = 90.00°, β = 90.00°, γ = 90.00°
Each line ends with the local moment (μB).
Positions (direct):
1 Cr 0.500 0.500 0.737  -0.03
2 Ru 0.500 0.500 0.259  0.05
3 Ru 0.000 0.000 0.992  -0.02
4 Co 0.000 0.000 0.511  0.20

Values from the calculation:
Size of the total moment, μB/cell: 0.20
Excess energy over the best structure of this formula in the dataset, eV/f.u.: 0.34
Space-group type: P4mm, No. 99
DFT formation energy, eV/atom: 0.148

Entry 15:
Compound: CrCoRu2
Source: Alexandria
Functional: PBE
Structure: relaxed

a = 4.464 Å, b = 4.464 Å, c = 4.589 Å
α = 80.16°, β = 80.16°, γ = 34.33°
Each line ends with the local moment (μB).
Positions (direct):
1 Ru 0.502 0.502 0.502  0.06
2 Ru 0.998 0.998 0.998  0.06
3 Cr 0.250 0.250 0.250  -0.56
4 Co 0.750 0.750 0.750  0.49

Values from the calculation:
Size of the total moment, μB/cell: 0.00
Excess energy over the best structure of this formula in the dataset, eV/f.u.: 0.32
Space-group type: C2/m, No. 12
DFT formation energy, eV/atom: 0.146

Entry 16:
Compound: Cr2CoRu2
Source: Alexandria
Functional: PBE
Structure: relaxed

a = 6.920 Å, b = 6.920 Å, c = 2.732 Å
α = 90.00°, β = 90.00°, γ = 90.00°
Positions (direct):
1 Ru 0.826 0.326 0.500
2 Ru 0.674 0.826 0.500
3 Ru 0.174 0.674 0.500
4 Ru 0.326 0.174 0.500
5 Cr 0.376 0.876 0.000
6 Cr 0.876 0.624 0.000
7 Cr 0.624 0.124 0.000
8 Cr 0.124 0.376 0.000
9 Co 0.500 0.500 0.000
10 Co 0.000 0.000 0.000

Values from the calculation:
Size of the total moment, μB/cell: 0.02
Excess energy over the best structure of this formula in the dataset, eV/f.u.: 0.06
Space-group type: P4/mbm, No. 127
DFT formation energy, eV/atom: 0.348

Entry 17:
Compound: CrCoRu3
Source: Alexandria
Functional: PBE
Structure: relaxed

a = 4.379 Å, b = 4.379 Å, c = 4.379 Å
α = 90.00°, β = 90.00°, γ = 90.00°
Each line ends with the local moment (μB).
Positions (direct):
1 Ru 0.000 0.000 0.500  0.73
2 Ru 0.500 0.000 0.000  0.78
3 Ru 0.000 0.500 0.000  0.81
4 Cr 0.000 0.000 0.000  -0.24
5 Co 0.500 0.500 0.500  2.16

Values from the calculation:
Size of the total moment, μB/cell: 4.25
Excess energy over the best structure of this formula in the dataset, eV/f.u.: 0.00
Space-group type: Pm-3m, No. 221
DFT formation energy, eV/atom: 1.429

Entry 18:
Compound: CrCoRu2
Source: Alexandria
Functional: PBE
Structure: relaxed

a = 2.592 Å, b = 2.592 Å, c = 8.594 Å
α = 90.00°, β = 90.00°, γ = 115.02°
Each line ends with the local moment (μB).
Positions (direct):
1 Cr 0.500 0.500 0.743  0.56
2 Ru 0.500 0.500 0.260  0.61
3 Ru 0.000 0.000 0.986  0.04
4 Co 0.000 0.000 0.511  1.66

Values from the calculation:
Size of the total moment, μB/cell: 2.88
Excess energy over the best structure of this formula in the dataset, eV/f.u.: 1.29
Space-group type: Cmm2, No. 35
DFT formation energy, eV/atom: 0.386

Entry 19:
Compound: CrCoRu
Source: Alexandria
Functional: PBE
Structure: relaxed

a = 4.469 Å, b = 4.469 Å, c = 4.469 Å
α = 146.29°, β = 131.98°, γ = 59.96°
Each line ends with the local moment (μB).
Positions (direct):
1 Cr 0.336 0.336 0.000  -0.13
2 Co 0.998 0.998 0.000  0.96
3 Ru 0.666 0.666 0.000  0.20

Values from the calculation:
Size of the total moment, μB/cell: 1.03
Excess energy over the best structure of this formula in the dataset, eV/f.u.: 0.24
Space-group type: Imm2, No. 44
DFT formation energy, eV/atom: 0.129

Entry 20:
Compound: CrCoRu2
Source: Alexandria
Functional: PBE
Structure: relaxed

a = 8.641 Å, b = 8.641 Å, c = 8.641 Å
α = 17.60°, β = 17.60°, γ = 17.60°
Each line ends with the local moment (μB).
Positions (direct):
1 Co 0.250 0.250 0.250  1.66
2 Ru 0.499 0.499 0.499  0.17
3 Ru 0.001 0.001 0.001  0.17
4 Cr 0.750 0.750 0.750  -0.19

Values from the calculation:
Size of the total moment, μB/cell: 1.78
Excess energy over the best structure of this formula in the dataset, eV/f.u.: 0.37
Space-group type: R-3m, No. 166
DFT formation energy, eV/atom: 0.157

no.,total energy (eV for the cell shown)
1,-25.5
2,-34.5
3,-38.9
4,-86.4
5,-35.0
6,-50.8
7,-34.4
8,-34.8
9,-30.9
10,-127.9
11,-81.6
12,-34.7
13,-25.6
14,-34.7
15,-34.7
16,-86.3
17,-37.4
18,-33.7
19,-25.6
20,-34.7